--- a ---
## TbEuDy2 (PBE)

Data for TbEuDy2 after structural relaxation.

## Properties
Its spin magnetization is 23.0 μB per cell.

a b c (Å): 3.6047 3.6047 35.6174
angles (deg): 90.00 90.00 120.00
Space group R-3m (No. 166, hexagonal axes)
Unique sites:
1 Tb 0.0000 0.0000 0.0000 (multiplicity 3)
2 Eu 0.0000 0.0000 0.5000 (multiplicity 3)
3 Dy 0.0000 0.0000 0.2536 (multiplicity 6)

***

--- b ---
## TbEuDy2 (PBE)

Data for TbEuDy2 after structural relaxation.

## Properties
Its spin magnetization is 8.0 μB per cell.

a b c (Å): 5.928 5.928 3.801
angles (deg): 90.00 90.00 90.00
Space group P4/mmm (No. 123)
Unique sites:
1 Tb 0.000 0.000 0.000 (multiplicity 1)
2 Eu 0.500 0.500 0.000 (multiplicity 1)
3 Dy 0.000 0.500 0.500 (multiplicity 2)

***

--- c ---
## TbEuDy2 (PBE)

Data for TbEuDy2 after structural relaxation.

## Properties
Its spin magnetization is 32.4 μB per cell.

a b c (Å): 8.120 8.120 8.120
angles (deg): 90.00 90.00 90.00
Space group Fm-3m (No. 225)
Unique sites:
1 Tb 0.000 0.000 0.000 (multiplicity 4)
2 Eu 0.000 0.000 0.500 (multiplicity 4)
3 Dy 0.250 0.250 0.250 (multiplicity 8)

***

Which structure is most stable, and how do the rest compare? From most to least stable: a, b, c.

***

--- a ---
## TbEu2Dy (PBE)

Data for TbEu2Dy after structural relaxation.

## Properties
Its spin magnetization is 14.6 μB per cell.

a b c (Å): 5.848 5.848 4.144
angles (deg): 90.00 90.00 90.00
Space group P4/mmm (No. 123)
Unique sites:
1 Tb 0.000 0.000 0.000 (multiplicity 1)
2 Eu 0.000 0.500 0.500 (multiplicity 2)
3 Dy 0.500 0.500 0.000 (multiplicity 1)

***

--- b ---
## TbEu2Dy (PBE)

Data for TbEu2Dy after structural relaxation.

## Properties
Its spin magnetization is 46.8 μB per cell.

a b c (Å): 3.5807 3.5807 38.6879
angles (deg): 90.00 90.00 120.00
Space group R-3m (No. 166, hexagonal axes)
Unique sites:
1 Tb 0.0000 0.0000 0.0000 (multiplicity 3)
2 Eu 0.0000 0.0000 0.0876 (multiplicity 6)
3 Dy 0.0000 0.0000 0.5000 (multiplicity 3)

***

--- c ---
## TbEu2Dy (PBE)

Data for TbEu2Dy after structural relaxation.

## Properties
Its spin magnetization is 15.2 μB per cell.

a b c (Å): 3.650 3.650 10.577
angles (deg): 90.00 90.00 90.00
Space group P4/mmm (No. 123)
Unique sites:
1 Tb 0.000 0.000 0.000 (multiplicity 1)
2 Eu 0.500 0.500 0.251 (multiplicity 2)
3 Dy 0.000 0.000 0.500 (multiplicity 1)

***

Which structure is most stable, and how do the rest compare? From most to least stable: c, a, b.

***

--- a ---
## EuDyTe (PBE)

Data for EuDyTe after structural relaxation.

## Properties
Its spin magnetization is 7.9 μB per cell.

a b c (Å): 5.2386 5.2386 4.2410
angles (deg): 90.00 90.00 120.00
Space group P3m1 (No. 156)
Unique sites:
1 Eu 0.0000 0.0000 0.0000 (multiplicity 1)
2 Dy 0.3333 0.6667 0.4999 (multiplicity 1)
3 Te 0.6667 0.3333 0.4959 (multiplicity 1)

***

--- b ---
## EuDyTe (PBE)

Data for EuDyTe after structural relaxation.

## Properties
Its spin magnetization is 15.8 μB per cell.

a b c (Å): 3.915 3.915 12.712
angles (deg): 90.00 90.00 90.00
Space group I4mm (No. 107)
Unique sites:
1 Eu 0.000 0.000 0.000 (multiplicity 2)
2 Dy 0.000 0.000 0.294 (multiplicity 2)
3 Te 0.000 0.000 0.671 (multiplicity 2)

***

Which structure is most stable, and how do the rest compare? From most to least stable: b, a.

***

--- a ---
## EuDyTh (PBE)

Data for EuDyTh after structural relaxation.

## Properties
Its spin magnetization is 15.3 μB per cell.

a b c (Å): 3.621 3.621 15.720
angles (deg): 90.00 90.00 90.00
Space group I4mm (No. 107)
Unique sites:
1 Eu 0.000 0.000 0.000 (multiplicity 2)
2 Dy 0.000 0.000 0.681 (multiplicity 2)
3 Th 0.000 0.000 0.330 (multiplicity 2)

***

--- b ---
## EuDyTh (PBE)

Data for EuDyTh after structural relaxation.

## Properties
Its spin magnetization is 7.7 μB per cell.

a b c (Å): 3.6230 3.6230 8.9819
angles (deg): 90.00 90.00 120.00
Space group P3m1 (No. 156)
Unique sites:
1 Eu 0.0000 0.0000 0.0000 (multiplicity 1)
2 Dy 0.6667 0.3333 0.3520 (multiplicity 1)
3 Th 0.3333 0.6667 0.6615 (multiplicity 1)

***

Which structure is most stable, and how do the rest compare? From most to least stable: b, a.

***

--- a ---
## EuDy2Th (PBE)

Data for EuDy2Th after structural relaxation.

## Properties
Its spin magnetization is 7.7 μB per cell.

a b c (Å): 3.631 3.631 10.293
angles (deg): 90.00 90.00 90.00
Space group P4/mmm (No. 123)
Unique sites:
1 Eu 0.000 0.000 0.000 (multiplicity 1)
2 Dy 0.500 0.500 0.272 (multiplicity 2)
3 Th 0.000 0.000 0.500 (multiplicity 1)

***

--- b ---
## EuDy2Th (PBE)

Data for EuDy2Th after structural relaxation.

## Properties
Its spin magnetization is 27.5 μB per cell.

a b c (Å): 8.123 8.123 8.123
angles (deg): 90.00 90.00 90.00
Space group Fm-3m (No. 225)
Unique sites:
1 Eu 0.000 0.000 0.000 (multiplicity 4)
2 Dy 0.250 0.250 0.250 (multiplicity 8)
3 Th 0.000 0.000 0.500 (multiplicity 4)

***

Which structure is most stable, and how do the rest compare? From most to least stable: a, b.

***

--- a ---
## EuDyTh2 (PBE)

Data for EuDyTh2 after structural relaxation.

## Properties
Its spin magnetization is 7.2 μB per cell.

a b c (Å): 5.063 5.063 5.138
angles (deg): 90.00 90.00 90.00
Space group P4/mmm (No. 123)
Unique sites:
1 Eu 0.000 0.000 0.000 (multiplicity 1)
2 Dy 0.500 0.500 0.000 (multiplicity 1)
3 Th 0.000 0.500 0.500 (multiplicity 2)

***

--- b ---
## EuDyTh2 (PBE)

Data for EuDyTh2 after structural relaxation.

## Properties
Its spin magnetization is 23.4 μB per cell.

a b c (Å): 3.5173 3.5173 38.0839
angles (deg): 90.00 90.00 120.00
Space group R-3m (No. 166, hexagonal axes)
Unique sites:
1 Eu 0.0000 0.0000 0.0000 (multiplicity 3)
2 Dy 0.0000 0.0000 0.5000 (multiplicity 3)
3 Th 0.0000 0.0000 0.0897 (multiplicity 6)

***

Which structure is most stable, and how do the rest compare? From most to least stable: a, b.